VASP calculation (PBE-GGA) on a relaxed structure of ZrMoW14.

extended XYZ file:
```
16
Lattice="-1.9759 -5.1630 0.3526 5.1483 0.1359 2.0401 -3.3138 1.8310 8.2405" Properties=species:S:1:pos:R:3 pbc="T T T"
W 1.6531 -1.3962 3.4552
W -1.0204 -3.0380 7.7966
W -0.0137 -0.4753 7.5999
W 0.6956 -3.1759 0.9854
W -0.9022 -1.4829 2.4148
W 1.6836 -0.5944 0.8091
Mo -0.9614 -2.2605 5.1057
Zr 2.6009 0.3891 5.9495
W 0.6677 -3.9707 3.5989
W 3.2698 -3.1080 2.0055
W 4.2577 -0.5265 1.8292
W 1.6128 -2.1923 6.1257
W -2.5903 -0.5502 6.6125
W 0.0268 0.3210 4.9294
W -1.9089 -4.0455 2.6115
W -3.5756 -3.1246 6.7561
```

Energy of formation from the pure elements (meV/atom): 1
Theoretical density (g/cm³): 17.46


VASP calculation (PBE-GGA) on a relaxed structure of SbW3.

extended XYZ file:
```
16
Lattice="-1.8687 -2.7060 4.6167 -0.6209 -4.4781 -2.8760 8.6820 -2.5143 2.0405" Properties=species:S:1:pos:R:3 pbc="T T T"
W 2.2323 -7.0896 2.7821
Sb 1.3701 -2.1233 2.0740
W -1.3510 -2.9628 2.1214
Sb 4.8224 -7.5750 1.7072
W 3.2123 -5.4812 0.6419
W 0.6092 -5.1739 1.5525
Sb 4.5828 -6.1325 4.5041
W 3.9602 -2.6087 0.9991
W 0.4466 -3.6200 4.1593
W 5.5832 -4.5244 2.2288
Sb 1.6097 -3.5658 -0.7229
W 5.7459 -6.0783 -0.3781
W 8.2914 -3.8630 2.0170
W -2.0989 -5.8353 1.7642
W 2.9802 -4.2170 3.1393
W 7.5434 -6.7355 1.6599
```

E_tot (eV per atom): -10.143
Theoretical density (g/cm³): 15.89


VASP calculation (PBE-GGA) on a relaxed structure of Sb2H2Au.

extended XYZ file:
```
5
Lattice="3.9898 0.0000 1.3707 2.1951 3.5928 0.1027 -0.7771 -2.0905 8.7538" Properties=species:S:1:pos:R:3 pbc="T T T"
Au 0.0000 0.0000 0.0000
Sb 3.7637 0.0873 8.5209
H 2.5812 0.7678 5.4709
H 2.8266 0.7345 4.7563
Sb 1.6441 1.4150 1.7063
```

E_tot (eV per atom): -3.581
Theoretical density (g/cm³): 5.93


VASP calculation (PBE-GGA) on a relaxed structure of Rb2CoWBr6.

extended XYZ file:
```
10
Lattice="-5.5797 -4.9630 0.1986 4.9077 -5.4627 1.3697 -0.8769 -4.3970 5.9762" Properties=species:S:1:pos:R:3 pbc="T T T"
W 0.0000 0.0000 0.0000
Rb -3.3963 -7.2864 3.4794
Br -0.9410 -10.0200 4.1502
Rb 1.8474 -7.5363 4.0650
Br 2.2993 -5.3384 1.0784
Br -2.9713 -5.0873 0.4899
Co -0.3360 -5.2129 0.7841
Br -0.6079 -4.8027 3.3943
Br -0.1671 -2.5930 0.3901
Br -0.5048 -7.8327 1.1782
```

E_tot (eV per atom): -3.889
Theoretical density (g/cm³): 5.03


VASP calculation (PBE-GGA) on a relaxed structure of La2TcBr.

extended XYZ file:
```
4
Lattice="-3.4149 -0.6495 -3.7134 2.6487 0.1831 -2.4678 2.1747 -5.6925 -1.0041" Properties=species:S:1:pos:R:3 pbc="T T T"
Br 1.6446 -5.0318 -4.1159
La -0.1831 -2.4380 -2.8889
Tc 2.3754 -1.7781 -1.8735
La 2.1579 -5.3583 -1.0472
```

E_tot (eV per atom): -6.014
Theoretical density (g/cm³): 7.02


VASP calculation (PBE-GGA) on a relaxed structure of Rb3CaAc2O6.

extended XYZ file:
```
12
Lattice="-3.0777 3.2115 4.8013 -2.7317 -5.3081 -2.6834 4.9298 -3.1374 3.7990" Properties=species:S:1:pos:R:3 pbc="T T T"
O -0.4514 0.3376 2.4319
O -0.5424 -2.7607 5.9544
Rb -0.5573 0.2749 5.4990
O -0.3372 -2.4732 -0.0375
Ac -2.9624 0.3722 2.3069
Rb -0.4398 -2.6170 2.9585
Ac -2.8470 -2.4688 -0.1890
O 2.4569 -3.1178 3.6624
Rb -0.3224 -5.5088 0.4179
O -3.3366 -2.1162 2.2545
Ca 0.0000 0.0000 0.0000
O -0.4283 -5.5716 3.4851
```

E_tot (eV per atom): -5.852
Theoretical density (g/cm³): 5.72


VASP calculation (PBE-GGA) on a relaxed structure of LiPrInPb.

extended XYZ file:
```
4
Lattice="-5.0528 0.4414 1.6740 -3.9974 -0.0101 -3.5424 -3.2898 -4.1969 -0.3023" Properties=species:S:1:pos:R:3 pbc="T T T"
Li 0.0000 0.0000 0.0000
In -3.0850 -0.9414 -0.5427
Pb -9.2550 -2.8241 -1.6280
Pr -6.1700 -1.8828 -1.0854
```

Energy of formation from the pure elements (meV/atom): -352
Theoretical density (g/cm³): 7.24


VASP calculation (PBE-GGA) on a relaxed structure of Tl9InSb2.

extended XYZ file:
```
12
Lattice="4.9690 0.0000 0.0000 0.0000 4.9690 0.0000 0.0000 0.0000 14.9021" Properties=species:S:1:pos:R:3 pbc="T T T"
Sb 0.0000 0.0000 9.9985
Tl 2.4845 2.4845 0.0000
Tl 0.0000 2.4845 7.4511
Tl 2.4845 0.0000 7.4511
Sb 0.0000 0.0000 4.9036
Tl 0.0000 2.4845 2.5606
Tl 2.4845 0.0000 12.3415
Tl 0.0000 2.4845 12.3415
Tl 2.4845 0.0000 2.5606
In 0.0000 0.0000 0.0000
Tl 2.4845 2.4845 5.0357
Tl 2.4845 2.4845 9.8664
```

E_tot (eV per atom): -2.681
Theoretical density (g/cm³): 9.92


VASP calculation (PBE-GGA) on a relaxed structure of HfHgIBr2.

extended XYZ file:
```
5
Lattice="5.4370 0.0000 0.0000 0.0000 6.0586 0.0000 0.0000 0.0000 5.4370" Properties=species:S:1:pos:R:3 pbc="T T T"
Hf 2.7185 3.0293 2.7185
Hg 0.0000 0.0000 0.0000
Br 0.0000 0.0000 2.7185
I 0.0000 3.0293 0.0000
Br 2.7185 0.0000 0.0000
```

E_tot (eV per atom): -2.450
Theoretical density (g/cm³): 6.17


VASP calculation (PBE-GGA) on a relaxed structure of SmHoEr2.

extended XYZ file:
```
4
Lattice="4.9999 0.0000 0.0000 0.0000 5.0084 0.0000 0.0000 0.0000 5.0084" Properties=species:S:1:pos:R:3 pbc="T T T"
Sm 2.4999 0.0000 0.0000
Er 0.0000 2.5042 0.0000
Ho 2.4999 2.5042 2.5042
Er 0.0000 0.0000 2.5042
```

Energy of formation from the pure elements (meV/atom): 23
Theoretical density (g/cm³): 8.60


VASP calculation (PBE-GGA) on a relaxed structure of MgTaMn.

extended XYZ file:
```
3
Lattice="-3.7193 -0.9374 -3.9141 -1.3130 -4.5316 -2.7894 1.0053 2.2117 4.9130" Properties=species:S:1:pos:R:3 pbc="T T T"
Mn -0.5617 0.5076 2.8243
Mg -4.9771 -5.4089 -6.6298
Ta -3.5204 -3.8248 -4.6884
```

Energy of formation from the pure elements (meV/atom): 175
Theoretical density (g/cm³): 8.65


VASP calculation (PBE-GGA) on a relaxed structure of BaCrP.

extended XYZ file:
```
3
Lattice="-3.7204 1.8955 2.5053 -4.3031 0.6828 -2.1745 -3.8038 -2.7943 1.1976" Properties=species:S:1:pos:R:3 pbc="T T T"
Cr -8.8705 -0.1620 1.1463
P 0.0000 0.0000 0.0000
Ba -5.9136 -0.1080 0.7642
```

Energy of formation from the pure elements (meV/atom): 135
Theoretical density (g/cm³): 4.48